A relaxed FeRhF2 crystal. Source: Alexandria, functional PBE with a Hubbard U.

Computed properties:
For the offset from the most stable computed form, the calculation gives 211 meV/atom. The calculation puts the volume at 16.10 Å³ per atom. The space group is I-42d, No. 122.

```
8
Lattice="-4.3708 1.7364 -1.0956 0.2668 -2.0748 -4.3524 -4.3798 -4.7429 -0.6864" Properties=species:S:1:pos:R:3 pbc="T T T"
F -1.8430 -2.1190 -3.1212
F -6.8984 -3.6784 -4.9150
Rh -5.4013 -1.5879 -2.2530
Rh 0.0000 0.0000 0.0000
Fe -2.0520 -0.1692 -2.7240
Fe -3.0826 -3.4935 -3.8814
F -4.8014 -3.8590 -2.9248
F -3.4249 -0.5062 -1.3081
```